P.
Density functional theory data (PBE-GGA) for BeSi2Rh after structural relaxation.

CIF file:
```
data_BeSi2Rh
_cell_length_a 3.1525
_cell_length_b 3.1525
_cell_length_c 4.9912
_cell_angle_alpha 90.00
_cell_angle_beta 90.00
_cell_angle_gamma 90.00
_space_group_name_H-M_alt 'P 4/m m m'
_space_group_IT_number 123
_space_group_name_Hall '-P 4 2'
loop_
_atom_site_label
_atom_site_fract_x
_atom_site_fract_y
_atom_site_fract_z
_atom_site_occupancy
Be1 0.0000 0.0000 0.0000 1
Si1 0.5000 0.5000 0.2355 1
Rh1 0.0000 0.0000 0.5000 1
```

Total magnetic moment   0.0 μB per cell


Q.
Density functional theory data (PBE-GGA) for BeSi2Rh after structural relaxation.

CIF file:
```
data_BeSi2Rh
_cell_length_a 4.2628
_cell_length_b 2.8685
_cell_length_c 4.3945
_cell_angle_alpha 90.00
_cell_angle_beta 112.66
_cell_angle_gamma 90.00
_space_group_name_H-M_alt 'P 1 2/m 1'
_space_group_IT_number 10
_space_group_name_Hall '-P 2y'
loop_
_atom_site_label
_atom_site_fract_x
_atom_site_fract_y
_atom_site_fract_z
_atom_site_occupancy
Be1 0.0000 0.0000 0.0000 1
Si1 0.5000 0.0000 0.5000 1
Si2 0.5000 0.5000 0.0000 1
Rh1 0.0000 0.5000 0.5000 1
```

Total magnetic moment   0.0 μB per cell


Q: Which of them is the most stable? A: Q.


P.
Density functional theory data (PBE-GGA) for BeSi2Rh2 after structural relaxation.

CIF file:
```
data_BeSi2Rh2
_cell_length_a 6.6247
_cell_length_b 6.6247
_cell_length_c 3.0118
_cell_angle_alpha 90.00
_cell_angle_beta 90.00
_cell_angle_gamma 90.00
_space_group_name_H-M_alt 'P 4/m b m'
_space_group_IT_number 127
_space_group_name_Hall '-P 4 2ab'
loop_
_atom_site_label
_atom_site_fract_x
_atom_site_fract_y
_atom_site_fract_z
_atom_site_occupancy
Be1 0.0000 0.0000 0.0000 1
Si1 0.1401 0.3599 0.0000 1
Rh1 0.1557 0.6557 0.5000 1
```

Total magnetic moment   0.0 μB per cell


Q.
Density functional theory data (PBE-GGA) for BeSi2Rh2 after structural relaxation.

CIF file:
```
data_BeSi2Rh2
_cell_length_a 6.2347
_cell_length_b 6.2347
_cell_length_c 3.4272
_cell_angle_alpha 90.00
_cell_angle_beta 90.00
_cell_angle_gamma 90.00
_space_group_name_H-M_alt 'P 4/m b m'
_space_group_IT_number 127
_space_group_name_Hall '-P 4 2ab'
loop_
_atom_site_label
_atom_site_fract_x
_atom_site_fract_y
_atom_site_fract_z
_atom_site_occupancy
Be1 0.0000 0.0000 0.0000 1
Si1 0.1439 0.3561 0.5000 1
Rh1 0.1600 0.6600 0.0000 1
```

Total magnetic moment   0.0 μB per cell


Q: Which of them is the most stable? A: Q.


P.
Density functional theory data (PBE-GGA) for BeSi3Rh after structural relaxation.

CIF file:
```
data_BeSi3Rh
_cell_length_a 4.1722
_cell_length_b 4.1722
_cell_length_c 4.1722
_cell_angle_alpha 90.00
_cell_angle_beta 90.00
_cell_angle_gamma 90.00
_space_group_name_H-M_alt 'P m -3 m'
_space_group_IT_number 221
_space_group_name_Hall '-P 4 2 3'
loop_
_atom_site_label
_atom_site_fract_x
_atom_site_fract_y
_atom_site_fract_z
_atom_site_occupancy
Be1 0.0000 0.0000 0.0000 1
Si1 0.0000 0.0000 0.5000 1
Rh1 0.5000 0.5000 0.5000 1
```

Total magnetic moment   0.0 μB per cell


Q.
Density functional theory data (PBE-GGA) for BeSi3Rh after structural relaxation.

CIF file:
```
data_BeSi3Rh
_cell_length_a 4.5875
_cell_length_b 4.5875
_cell_length_c 4.5875
_cell_angle_alpha 90.00
_cell_angle_beta 90.00
_cell_angle_gamma 90.00
_space_group_name_H-M_alt 'P m -3 m'
_space_group_IT_number 221
_space_group_name_Hall '-P 4 2 3'
loop_
_atom_site_label
_atom_site_fract_x
_atom_site_fract_y
_atom_site_fract_z
_atom_site_occupancy
Be1 0.0000 0.0000 0.0000 1
Si1 0.0000 0.5000 0.5000 1
Rh1 0.5000 0.5000 0.5000 1
```

Total magnetic moment   0.0 μB per cell


Q: Which of them is the most stable? A: P.